DFT (GGA-PBE) results for crystalline La2Pa2Rh5 at its relaxed geometry.

Summary:
As for the crystal system: orthorhombic. Its total energy is -8.00 eV per atom. The calculation puts the spin magnetization at 0.00 μB/f.u. The value obtained for the density of states at the Fermi level is 0.546 states/eV per atom.

a b c (Å): 7.6529 8.1219 8.1219
angles (deg): 124.63 90.00 90.00
Element x y z (fractional)
Rh  0.3664  0.7471  0.9739
Pa  0.1664  0.6644  0.6644
Rh  0.5000  0.5000  0.5000
La  0.5000  0.2981  0.7019
Pa  0.8336  0.3356  0.3356
Rh  0.3664  0.9739  0.7471
Rh  0.0000  0.0000  0.0000
La  0.5000  0.7019  0.2981
Rh  0.1336  0.4739  0.2471
Rh  0.8664  0.7529  0.5261
La  0.0000  0.2019  0.7981
Pa  0.3336  0.1644  0.1644
Rh  0.6336  0.2529  0.0261
Rh  0.8664  0.5261  0.7529
Pa  0.6664  0.8356  0.8356
La  0.0000  0.7981  0.2019
Rh  0.6336  0.0261  0.2529
Rh  0.1336  0.2471  0.4739

---

DFT (GGA-PBE) results for crystalline La5PaRh6 at its relaxed geometry.

Summary:
As for the crystal system: triclinic. Its total energy is -7.25 eV per atom. The calculation puts the spin magnetization at 0.00 μB/f.u. The value obtained for the density of states at the Fermi level is 0.384 states/eV per atom.

a b c (Å): 4.8692 7.2544 8.9062
angles (deg): 66.23 74.21 90.21
Element x y z (fractional)
Pa  0.0000  0.0000  0.0000
Rh  0.1389  0.3649  0.7217
Rh  0.8626  0.0878  0.2779
La  0.3349  0.3358  0.3313
La  0.6750  0.1744  0.6489
Rh  0.5005  0.7888  0.0002
La  0.3250  0.8256  0.3511
Rh  0.4995  0.2112  0.9998
La  0.0000  0.5000  0.0000
La  0.6651  0.6642  0.6687
Rh  0.1374  0.9122  0.7221
Rh  0.8611  0.6351  0.2783